No. 1
{"formula": "TaNb2CoW", "functional": "meta-GGA SCAN", "state": "single point on PBEsol structure", "formation_energy_mev_per_atom": 1524, "spacegroup": "P4/mmm", "density_g_cm3": 10.3, "lattice": [[4.8008, 0.0000, 0.0000], [0.0000, 4.8008, 0.0000], [0.0000, 0.0000, 4.2709]], "species": ["Ta", "Nb", "Nb", "Co", "W"], "fractional_positions": [[0.0000, 0.0000, 0.0000], [0.0000, 0.5000, 0.5000], [0.5000, 0.0000, 0.5000], [0.5000, 0.5000, 0.0000], [0.5000, 0.5000, 0.5000]]}

=====

No. 2
{"formula": "NbCoTc3", "functional": "meta-GGA SCAN", "state": "single point on PBEsol structure", "formation_energy_mev_per_atom": 2079, "spacegroup": "Pm-3m", "density_g_cm3": 7.6, "lattice": [[4.5987, 0.0000, 0.0000], [0.0000, 4.5987, 0.0000], [0.0000, 0.0000, 4.5987]], "species": ["Nb", "Co", "Tc", "Tc", "Tc"], "fractional_positions": [[0.0000, 0.0000, 0.0000], [0.5000, 0.5000, 0.5000], [0.0000, 0.0000, 0.5000], [0.0000, 0.5000, 0.0000], [0.5000, 0.0000, 0.0000]]}